[1]
SCAN SiHg2Pb, PBEsol geometry; SG = Cm; M_tot = 0.000 μB per formula unit; total DFT energy (no corrections) = -55.257 eV/atom; offset from the most stable computed form = 0.000 eV/atom; formation energy without anion corrections = 0.27 eV per atom; D(E_F) = 0.37 states/eV/atom
1.0
4.2182 0.0000 0.0000
-2.1091 3.6128 -0.0792
0.0000 -2.3672 6.4487
Pb Hg Si
1 2 1
Direct
0.4898 0.9796 0.4644
0.0148 0.0296 0.0458
0.2585 0.5171 0.7767
0.7369 0.4738 0.2131

[2]
SCAN Ca2ReW, PBEsol geometry; SG = P4/mmm; M_tot = 0.000 μB per formula unit; total DFT energy (no corrections) = -38.665 eV/atom; offset from the most stable computed form = 0.801 eV/atom; ΔH_f (0 K) = 5.45 eV/f.u.; D(E_F) = 0.94 states/eV/atom
1.0
-1.1230 -1.2832 -3.5105
1.1335 -3.6098 0.9569
-4.8509 -1.0136 1.9223
Ca Re W
2 1 1
Direct
0.0000 0.0000 0.7537
0.0000 0.0000 0.2463
0.5000 0.5000 0.0000
0.5000 0.5000 0.5000

[3]
SCAN ZrFe2Cl, PBEsol geometry; SG = Immm; M_tot = 4.680 μB per formula unit; total DFT energy (no corrections) = -18.626 eV/atom; offset from the most stable computed form = 0.000 eV/atom; formation energy without anion corrections = 0.11 eV per atom; D(E_F) = 0.75 states/eV/atom
1.0
-0.6020 0.6259 2.7771
1.5796 -3.7031 1.1771
3.7080 3.4790 -1.5046
Cl Zr Fe
1 1 2
Direct
0.0000 0.5000 0.0000
0.5000 0.0000 0.0000
0.7372 0.7372 0.4743
0.2628 0.2628 0.5257